Computed, not measured: a geometry-optimized Er2Zn5Hg structure at the PBE level of DFT.

Geometry as extended XYZ:
```
16
Lattice="2.135 -8.070 0.000 2.135 8.070 0.000 0.000 0.000 9.046" Properties=species:S:1:pos:R:3 pbc="T T T"
Er 0.000 0.000 0.000
Er 0.000 0.000 4.523
Er 2.135 4.864 6.784
Er 2.135 -4.864 2.261
Zn 2.135 5.029 0.979
Zn 2.135 5.029 3.544
Zn 2.135 2.467 0.184
Zn 2.135 2.467 4.338
Zn 2.135 1.795 6.784
Zn 2.135 -1.795 2.261
Zn 2.135 -2.467 4.707
Zn 2.135 -2.467 8.861
Zn 2.135 -5.029 5.501
Zn 2.135 -5.029 8.067
Hg 2.135 0.803 2.261
Hg 2.135 -0.803 6.784
```

Density of states at the Fermi level (states/eV per atom): 0.574
Magnetic moment (μB per formula unit): 0.0
Energy of formation (meV per atom): -318
Crystal system: orthorhombic



Computed, not measured: a geometry-optimized Pa3MnS6 structure at the PBE level of DFT.

Geometry as extended XYZ:
```
20
Lattice="5.906 3.410 3.652 -5.906 3.410 3.652 0.000 -6.820 3.652" Properties=species:S:1:pos:R:3 pbc="T T T"
Pa -2.958 -2.905 5.648
Pa -3.995 1.110 5.309
Pa 1.036 -4.014 5.309
Pa -1.036 4.014 5.648
Pa 3.995 -1.110 5.648
Pa 2.958 2.905 5.309
Mn 0.000 0.000 0.000
Mn 0.000 0.000 5.478
S -5.100 -1.323 6.136
S -1.404 -5.078 4.821
S -2.088 -0.510 4.240
S -3.696 3.755 4.821
S 1.485 -1.553 4.240
S -0.603 -2.063 6.717
S 0.603 2.063 4.240
S -1.485 1.553 6.717
S 3.696 -3.755 6.136
S 2.088 0.510 6.717
S 1.404 5.078 6.136
S 5.100 1.323 4.821
```

Density of states at the Fermi level (states/eV per atom): 1.405
Magnetic moment (μB per formula unit): 7.1
Crystal system: trigonal
Energy relative to the elements, uncorrected (eV/f.u.): -13.4



Computed, not measured: a geometry-optimized Cs2Pr2SnO6 structure at the PBE level of DFT.

Geometry as extended XYZ:
```
11
Lattice="3.100 -5.323 0.000 3.100 5.323 0.000 -1.893 0.000 7.072" Properties=species:S:1:pos:R:3 pbc="T T T"
Cs 3.100 3.564 0.000
Cs 3.100 -3.564 0.000
Pr 2.153 1.759 3.536
Pr 2.153 -1.759 3.536
Sn -0.947 0.000 3.536
O -0.019 1.628 4.645
O 0.871 0.000 2.408
O -0.019 -1.628 4.645
O 4.326 1.628 2.427
O 3.436 0.000 4.665
O 4.326 -1.628 2.427
```

Density of states at the Fermi level (states/eV per atom): 0.000
Magnetic moment (μB per formula unit): 0.0
Crystal system: monoclinic
Energy relative to the elements, uncorrected (eV/f.u.): -24.8



Computed, not measured: a geometry-optimized RbS2Br8 structure at the PBE level of DFT.

Geometry as extended XYZ:
```
11
Lattice="7.354 -5.855 0.000 7.354 5.855 0.000 -0.553 0.000 5.653" Properties=species:S:1:pos:R:3 pbc="T T T"
Rb 0.000 0.000 0.000
S 3.145 0.000 3.476
S 11.010 0.000 2.178
Br 5.388 4.067 2.589
Br 8.768 4.067 3.064
Br 4.269 0.000 1.504
Br 5.312 0.000 4.806
Br 8.844 0.000 0.847
Br 9.887 0.000 4.149
Br 5.388 -4.067 2.589
Br 8.768 -4.067 3.064
```

Density of states at the Fermi level (states/eV per atom): 0.127
Magnetic moment (μB per formula unit): 1.0
Crystal system: monoclinic
Energy relative to the elements, uncorrected (eV/f.u.): -1.9



Computed, not measured: a geometry-optimized SnHgN2 structure at the PBE level of DFT.

Geometry as extended XYZ:
```
4
Lattice="3.143 0.000 0.000 1.565 5.055 0.000 0.823 0.683 9.286" Properties=species:S:1:pos:R:3 pbc="T T T"
Sn 0.000 0.000 0.000
Hg 2.359 3.100 8.213
N 2.013 5.341 4.063
N 3.595 1.278 4.569
```

Density of states at the Fermi level (states/eV per atom): 0.141
Magnetic moment (μB per formula unit): 0.0
Crystal system: triclinic
Energy relative to the elements, uncorrected (eV/f.u.): 0.8



Computed, not measured: a geometry-optimized TiTc3Pb structure at the PBE level of DFT.

Geometry as extended XYZ:
```
5
Lattice="4.620 0.000 0.000 0.000 4.620 0.000 0.000 0.000 4.620" Properties=species:S:1:pos:R:3 pbc="T T T"
Ti 0.000 0.000 0.000
Tc 0.000 0.000 2.310
Tc 0.000 2.310 0.000
Tc 2.310 0.000 0.000
Pb 2.310 2.310 2.310
```

Density of states at the Fermi level (states/eV per atom): 0.768
Magnetic moment (μB per formula unit): 2.8
Energy of formation (meV per atom): 1220
Crystal system: cubic



Computed, not measured: a geometry-optimized CaSiN structure at the PBE level of DFT.

Geometry as extended XYZ:
```
12
Lattice="10.992 0.000 0.000 0.000 2.998 0.000 0.000 0.000 5.982" Properties=species:S:1:pos:R:3 pbc="T T T"
Ca 1.590 0.749 1.449
Ca 3.906 2.248 4.440
Ca 7.086 0.749 1.542
Ca 9.402 2.248 4.533
Si 1.116 0.749 4.500
Si 4.380 2.248 1.509
Si 6.612 0.749 4.473
Si 9.875 2.248 1.482
N 1.423 2.248 5.492
N 4.073 0.749 2.501
N 6.919 2.248 3.481
N 9.569 0.749 0.490
```

Density of states at the Fermi level (states/eV per atom): 0.340
Magnetic moment (μB per formula unit): 0.0
Crystal system: orthorhombic
Energy relative to the elements, uncorrected (eV/f.u.): -1.4



Computed, not measured: a geometry-optimized Sc2NbTc structure at the PBE level of DFT.

Geometry as extended XYZ:
```
8
Lattice="-3.742 3.742 2.824 3.742 -3.742 2.824 3.742 3.742 -2.824" Properties=species:S:1:pos:R:3 pbc="T T T"
Sc 5.614 1.623 -0.706
Sc 1.623 1.871 0.706
Sc -1.871 2.119 2.118
Sc 2.119 1.871 3.529
Nb 3.742 0.000 1.412
Nb 0.000 0.000 2.824
Tc 0.000 0.000 0.000
Tc 0.000 3.742 1.412
```

Density of states at the Fermi level (states/eV per atom): 1.552
Magnetic moment (μB per formula unit): 0.0
Energy of formation (meV per atom): 470
Crystal system: tetragonal



Number 1: raw total energy -36.7 eV per cell. Number 2: raw total energy -151.7 eV per cell. Number 3: raw total energy -69.8 eV per cell. Number 4: raw total energy -24.5 eV per cell. Number 5: raw total energy -20.2 eV per cell. Number 6: raw total energy -36.6 eV per cell. Number 7: raw total energy -68.5 eV per cell. Number 8: raw total energy -62.4 eV per cell.